1.
A relaxed Ca3PuPa2P6 crystal, computed with PBE.

Structure (CIF):
```
data_Ca3PuPa2P6
_cell_length_a 7.066
_cell_length_b 12.235
_cell_length_c 7.028
_cell_angle_alpha 90.00
_cell_angle_beta 109.59
_cell_angle_gamma 90.00
_symmetry_space_group_name_H-M 'C 1 2/m 1'
_symmetry_Int_Tables_number 12
_symmetry_space_group_name_Hall '-C 2y'
loop_
_atom_site_label
_atom_site_type_symbol
_atom_site_fract_x
_atom_site_fract_y
_atom_site_fract_z
_atom_site_occupancy
Ca1 Ca 0.000 0.000 0.000 1
Ca2 Ca 0.000 0.335 0.000 1
Pu1 Pu 0.000 0.500 0.500 1
Pa1 Pa 0.000 0.167 0.500 1
P1 P 0.236 0.000 0.730 1
P2 P 0.247 0.330 0.729 1
```

Calculated values
Energy of formation: -1.233 eV per atom
M_tot: 11.68 μB/cell
Theoretical density: 5.9 Mg/m³
Uncorrected energy: -7.215 eV per atom

2.
A relaxed CaPu2PaP4 crystal, computed with PBE.

Structure (CIF):
```
data_CaPu2PaP4
_cell_length_a 6.954
_cell_length_b 4.035
_cell_length_c 6.959
_cell_angle_alpha 90.00
_cell_angle_beta 109.72
_cell_angle_gamma 90.00
_symmetry_space_group_name_H-M 'P 1 2/m 1'
_symmetry_Int_Tables_number 10
_symmetry_space_group_name_Hall '-P 2y'
loop_
_atom_site_label
_atom_site_type_symbol
_atom_site_fract_x
_atom_site_fract_y
_atom_site_fract_z
_atom_site_occupancy
Ca1 Ca 0.000 0.000 0.000 1
Pu1 Pu 0.500 0.000 0.500 1
Pu2 Pu 0.500 0.500 0.000 1
Pa1 Pa 0.000 0.500 0.500 1
P1 P 0.248 0.000 0.743 1
P2 P 0.256 0.500 0.265 1
```

Calculated values
Energy of formation: -1.165 eV per atom
M_tot: 0.44 μB/cell
Theoretical density: 8.0 Mg/m³
Uncorrected energy: -8.890 eV per atom

3.
A relaxed Ca4PuPa3P8 crystal, computed with PBE.

Structure (CIF):
```
data_Ca4PuPa3P8
_cell_length_a 8.1419
_cell_length_b 8.1419
_cell_length_c 19.8388
_cell_angle_alpha 90.00
_cell_angle_beta 90.00
_cell_angle_gamma 120.00
_symmetry_space_group_name_H-M 'R -3 m'
_symmetry_Int_Tables_number 166
_symmetry_space_group_name_Hall '-R 3 2"'
loop_
_atom_site_label
_atom_site_type_symbol
_atom_site_fract_x
_atom_site_fract_y
_atom_site_fract_z
_atom_site_occupancy
Ca1 Ca 0.0000 0.0000 0.0000 1
Ca2 Ca 0.0000 0.5000 0.0000 1
Pu1 Pu 0.0000 0.0000 0.5000 1
Pa1 Pa 0.0000 0.5000 0.5000 1
P1 P 0.0000 0.0000 0.2434 1
P2 P 0.0061 0.5030 0.7570 1
```

Calculated values
Energy of formation: -1.236 eV per atom
M_tot: 19.01 μB/cell
Theoretical density: 5.9 Mg/m³
Uncorrected energy: -7.118 eV per atom

4.
A relaxed CaPaP2Rh5 crystal, computed with PBE.

Structure (CIF):
```
data_CaPaP2Rh5
_cell_length_a 4.040
_cell_length_b 4.040
_cell_length_c 10.703
_cell_angle_alpha 90.00
_cell_angle_beta 90.00
_cell_angle_gamma 90.00
_symmetry_space_group_name_H-M 'P 4/m m m'
_symmetry_Int_Tables_number 123
_symmetry_space_group_name_Hall '-P 4 2'
loop_
_atom_site_label
_atom_site_type_symbol
_atom_site_fract_x
_atom_site_fract_y
_atom_site_fract_z
_atom_site_occupancy
Ca1 Ca 0.000 0.000 0.000 1
Pa1 Pa 0.500 0.500 0.500 1
P1 P 0.500 0.500 0.209 1
Rh1 Rh 0.000 0.500 0.316 1
Rh2 Rh 0.500 0.500 0.000 1
```

Calculated values
Energy of formation: -0.604 eV per atom
M_tot: 0.00 μB/cell
Theoretical density: 8.1 Mg/m³
Uncorrected energy: -7.168 eV per atom

5.
A relaxed CaPaP2S8 crystal, computed with PBE.

Structure (CIF):
```
data_CaPaP2S8
_cell_length_a 6.0542
_cell_length_b 6.0542
_cell_length_c 8.9705
_cell_angle_alpha 90.00
_cell_angle_beta 90.00
_cell_angle_gamma 120.00
_symmetry_space_group_name_H-M 'P -3'
_symmetry_Int_Tables_number 147
_symmetry_space_group_name_Hall '-P 3'
loop_
_atom_site_label
_atom_site_type_symbol
_atom_site_fract_x
_atom_site_fract_y
_atom_site_fract_z
_atom_site_occupancy
Ca1 Ca 0.0000 0.0000 0.0000 1
Pa1 Pa 0.0000 0.0000 0.5000 1
P1 P 0.3333 0.6667 0.7677 1
S1 S 0.0020 0.3418 0.6954 1
S2 S 0.3333 0.6667 0.9897 1
```

Calculated values
M_tot: 1.04 μB/cell
Theoretical density: 3.4 Mg/m³
Uncorrected energy: -5.336 eV per atom

6.
A relaxed Ca3ScPa3P8 crystal, computed with PBE.

Structure (CIF):
```
data_Ca3ScPa3P8
_cell_length_a 8.0593
_cell_length_b 8.0593
_cell_length_c 19.8467
_cell_angle_alpha 90.00
_cell_angle_beta 90.00
_cell_angle_gamma 120.00
_symmetry_space_group_name_H-M 'R -3 m'
_symmetry_Int_Tables_number 166
_symmetry_space_group_name_Hall '-R 3 2"'
loop_
_atom_site_label
_atom_site_type_symbol
_atom_site_fract_x
_atom_site_fract_y
_atom_site_fract_z
_atom_site_occupancy
Ca1 Ca 0.0000 0.5000 0.0000 1
Sc1 Sc 0.0000 0.0000 0.5000 1
Pa1 Pa 0.0000 0.5000 0.5000 1
P1 P 0.0000 0.0000 0.2446 1
P2 P 0.0001 0.5001 0.2391 1
```

Calculated values
Energy of formation: -1.116 eV per atom
M_tot: 0.00 μB/cell
Theoretical density: 4.9 Mg/m³
Uncorrected energy: -6.723 eV per atom

7.
A relaxed Ca2ScPaP4 crystal, computed with PBE.

Structure (CIF):
```
data_Ca2ScPaP4
_cell_length_a 6.848
_cell_length_b 4.035
_cell_length_c 7.003
_cell_angle_alpha 90.00
_cell_angle_beta 109.15
_cell_angle_gamma 90.00
_symmetry_space_group_name_H-M 'P 1 2/m 1'
_symmetry_Int_Tables_number 10
_symmetry_space_group_name_Hall '-P 2y'
loop_
_atom_site_label
_atom_site_type_symbol
_atom_site_fract_x
_atom_site_fract_y
_atom_site_fract_z
_atom_site_occupancy
Ca1 Ca 0.000 0.000 0.000 1
Ca2 Ca 0.500 0.500 0.000 1
Sc1 Sc 0.000 0.500 0.500 1
Pa1 Pa 0.500 0.000 0.500 1
P1 P 0.241 0.000 0.723 1
P2 P 0.255 0.500 0.274 1
```

Calculated values
Energy of formation: -1.297 eV per atom
M_tot: 0.00 μB/cell
Theoretical density: 4.4 Mg/m³
Uncorrected energy: -6.481 eV per atom

8.
A relaxed CaSm2PaP4 crystal, computed with PBE.

Structure (CIF):
```
data_CaSm2PaP4
_cell_length_a 7.022
_cell_length_b 4.081
_cell_length_c 7.043
_cell_angle_alpha 90.00
_cell_angle_beta 109.19
_cell_angle_gamma 90.00
_symmetry_space_group_name_H-M 'P 1 2/m 1'
_symmetry_Int_Tables_number 10
_symmetry_space_group_name_Hall '-P 2y'
loop_
_atom_site_label
_atom_site_type_symbol
_atom_site_fract_x
_atom_site_fract_y
_atom_site_fract_z
_atom_site_occupancy
Ca1 Ca 0.000 0.000 0.000 1
Sm1 Sm 0.000 0.500 0.500 1
Sm2 Sm 0.500 0.000 0.500 1
Pa1 Pa 0.500 0.500 0.000 1
P1 P 0.261 0.000 0.759 1
P2 P 0.261 0.500 0.243 1
```

Calculated values
Energy of formation: -1.413 eV per atom
M_tot: 0.00 μB/cell
Theoretical density: 6.1 Mg/m³
Uncorrected energy: -6.735 eV per atom

9.
A relaxed CaSmPa2P4 crystal, computed with PBE.

Structure (CIF):
```
data_CaSmPa2P4
_cell_length_a 5.681
_cell_length_b 5.681
_cell_length_c 11.448
_cell_angle_alpha 90.00
_cell_angle_beta 90.00
_cell_angle_gamma 90.00
_symmetry_space_group_name_H-M 'I -4 m 2'
_symmetry_Int_Tables_number 119
_symmetry_space_group_name_Hall 'I -4 -2'
loop_
_atom_site_label
_atom_site_type_symbol
_atom_site_fract_x
_atom_site_fract_y
_atom_site_fract_z
_atom_site_occupancy
Ca1 Ca 0.000 0.000 0.000 1
Sm1 Sm 0.000 0.500 0.750 1
Pa1 Pa 0.000 0.000 0.500 1
Pa2 Pa 0.000 0.500 0.250 1
P1 P 0.000 0.000 0.257 1
P2 P 0.000 0.500 0.006 1
```

Calculated values
Energy of formation: -1.335 eV per atom
M_tot: 0.00 μB/cell
Theoretical density: 7.0 Mg/m³
Uncorrected energy: -7.254 eV per atom

10.
A relaxed Sr4CaPa3P8 crystal, computed with PBE.

Structure (CIF):
```
data_Sr4CaPa3P8
_cell_length_a 8.3312
_cell_length_b 8.3312
_cell_length_c 20.7022
_cell_angle_alpha 90.00
_cell_angle_beta 90.00
_cell_angle_gamma 120.00
_symmetry_space_group_name_H-M 'R -3 m'
_symmetry_Int_Tables_number 166
_symmetry_space_group_name_Hall '-R 3 2"'
loop_
_atom_site_label
_atom_site_type_symbol
_atom_site_fract_x
_atom_site_fract_y
_atom_site_fract_z
_atom_site_occupancy
Sr1 Sr 0.0000 0.0000 0.0000 1
Sr2 Sr 0.0000 0.5000 0.0000 1
Ca1 Ca 0.0000 0.0000 0.5000 1
Pa1 Pa 0.0000 0.5000 0.5000 1
P1 P 0.0000 0.0000 0.2380 1
P2 P 0.0159 0.5080 0.7618 1
```

Calculated values
Energy of formation: -1.223 eV per atom
M_tot: 0.02 μB/cell
Theoretical density: 5.3 Mg/m³
Uncorrected energy: -6.254 eV per atom